w.
Computed, not measured: a relaxed structure of CaTcF2 at the PBE-GGA level of DFT.

a b c (Å): 6.2059 6.2059 6.2059
angles (deg): 90.00 90.00 90.00
Space group Fm-3m (No. 225)
Symmetry-distinct sites (fractional):
Ca 0.0000 0.0000 0.0000
Tc 0.0000 0.0000 0.5000
F 0.2500 0.2500 0.2500

Properties
- calculated volume (A^3/atom) = 14.94

x.
Computed, not measured: a relaxed structure of CaTcF2 at the PBE-GGA level of DFT.

a b c (Å): 5.5684 5.5684 10.7010
angles (deg): 90.00 90.00 90.00
Space group I-42d (No. 122)
Symmetry-distinct sites (fractional):
Ca 0.0000 0.0000 0.0000
Tc 0.0000 0.0000 0.5000
F 0.1842 0.2500 0.1250

Properties
- calculated volume (A^3/atom) = 20.74

y.
Computed, not measured: a relaxed structure of CaTcF2 at the PBE-GGA level of DFT.

a b c (Å): 3.5331 3.5331 18.2934
angles (deg): 90.00 90.00 120.00
Space group R-3m (No. 166, hexagonal axes)
Symmetry-distinct sites (fractional):
Ca 0.0000 0.0000 0.0000
Tc 0.0000 0.0000 0.5000
F 0.0000 0.0000 0.3827

Properties
- calculated volume (A^3/atom) = 16.48

It is y that is most stable; the runner-up trails by 0.349 eV/atom.